DFT (PBE-GGA) results for a geometry-optimized Zr6TaGa10 structure.

The space group is P-31m (No. 162) and the conventional cell measures 8.1439, 8.1439 and 5.5916 Å, with angles of 90.00, 90.00 and 120.00 degrees. Symmetry generates all atoms from Zr at (0.0000, 0.3822, 0.2783), Ta at (0.0000, 0.0000, 0.5000), Ga at (0.0000, 0.2546, 0.8040), Ga at (0.3333, 0.6667, 0.0000) and Ga at (0.3333, 0.6667, 0.5000).

Its uncorrected energy is -5.8627 eV/atom. The value obtained for the formation enthalpy at 0 K is -6.255 eV/f.u.